# 1
20
Lattice="-7.6859 -6.8899 1.5254 6.5635 -5.6761 -0.1432 -1.1623 4.5851 7.2763" Properties=species:S:1:pos:R:3 comment="TbPm6TmTh2 | Alexandria via LeMat-Bulk | GGA-PBE | relaxed" ef_ev_per_atom=0.152 sg="C2/c (15)" crystal_system=monoclinic pbc="T T T"
Tb 4.5823 -7.3193 0.2955
Tb -6.8671 -0.6616 8.3631
Pm -1.7712 -10.3937 3.2157
Pm -5.3401 -5.5131 5.0008
Pm -5.7469 -2.0969 5.2131
Pm 0.4967 -7.4780 1.5448
Pm -2.3178 -3.8805 5.8899
Pm 2.4192 -4.3939 0.2986
Pm 3.4622 -5.8840 3.4455
Pm 0.0330 -4.1004 2.7686
Pm -4.7040 -3.5870 8.3599
Pm 3.0553 -2.4678 3.6578
Pm -0.5135 2.4128 5.4428
Pm -2.7814 -0.5030 7.1137
Th 1.1712 -0.9665 1.3528
Th -3.2988 -3.5787 2.7177
Th 1.0141 -4.4022 5.9408
Th -3.4559 -7.0144 7.3057
Tm -2.3090 -6.7155 3.9857
Tm 0.0242 -1.2654 4.6728

---

# 2
6
Lattice="2.8692 0.0000 0.0000 0.0000 4.3846 0.0000 -1.4346 0.0000 7.3519" Properties=species:S:1:pos:R:3 comment="NpGaNi | Alexandria via LeMat-Bulk | GGA-PBE | relaxed" ef_ev_per_atom=-0.085 sg="Cmcm (63)" crystal_system=orthorhombic pbc="T T T"
Ni 0.0000 1.0962 6.4549
Ni 1.4346 3.2885 0.8970
Np 1.4346 1.0962 3.9070
Np 0.0000 3.2885 3.4449
Ga 1.4346 3.2885 6.1795
Ga 0.0000 1.0962 1.1724

---

# 3
10
Lattice="-1.4161 -2.8518 -1.8389 1.9198 -2.3163 2.1139 -15.2080 -0.7938 12.9421" Properties=species:S:1:pos:R:3 comment="PmHo5Hg4 | Alexandria via LeMat-Bulk | GGA-PBE | relaxed" ef_ev_per_atom=-0.378 sg="P4/mmm (123)" crystal_system=tetragonal pbc="T T T"
Hg -9.0455 -0.4721 7.6978
Hg -11.9013 -0.6212 10.1281
Hg -6.1625 -0.3217 5.2443
Hg -3.3067 -0.1726 2.8140
Ho -1.6471 -2.6832 1.7535
Ho -7.3521 -2.9810 6.6085
Ho -10.1938 -3.1293 9.0268
Ho -4.5105 -2.8326 4.1902
Ho -13.0572 -3.2787 11.4635
Pm 0.0000 0.0000 0.0000

---

# 4
5
Lattice="3.0960 0.0000 0.0000 0.0000 3.0960 0.0000 1.5480 1.5480 7.3355" Properties=species:S:1:pos:R:3 comment="Mn2ZnPd2 | Alexandria via LeMat-Bulk | GGA-PBE | relaxed" ef_ev_per_atom=0.117 relative_energy_mev_per_atom=172 sg="I4/mmm (139)" crystal_system=tetragonal pbc="T T T"
Mn 3.0960 1.5480 3.6677
Mn 1.5480 3.0960 3.6677
Pd 1.5480 1.5480 1.4776
Pd 3.0960 3.0960 5.8579
Zn 0.0000 0.0000 0.0000

---

# 5
10
Lattice="7.5442 0.0000 0.0000 0.0000 7.5442 0.0000 0.0000 0.0000 3.6749" Properties=species:S:1:pos:R:3 comment="Ta2Sb2Au | Alexandria via LeMat-Bulk | GGA-PBE | relaxed" relative_energy_mev_per_atom=0 sg="P4/mbm (127)" raw_formation_energy_ev_per_atom=0.0522 crystal_system=tetragonal pbc="T T T"
Ta 1.0346 2.7375 0.0000
Ta 6.5096 4.8067 0.0000
Ta 4.8067 1.0346 0.0000
Ta 2.7375 6.5096 0.0000
Sb 2.5969 1.1752 1.8374
Sb 6.3690 2.5969 1.8374
Sb 1.1752 4.9473 1.8374
Sb 4.9473 6.3690 1.8374
Au 3.7721 3.7721 0.0000
Au 0.0000 0.0000 0.0000

---

# 6
4
Lattice="3.3265 -0.0001 1.0142 -0.0259 4.0556 0.0853 -0.2866 0.0417 6.8988" Properties=species:S:1:pos:R:3 comment="RhCl2F | Alexandria via LeMat-Bulk | GGA-PBE | relaxed" relative_energy_mev_per_atom=0 sg="C2 (5)" raw_formation_energy_ev_per_atom=-0.8450 crystal_system=monoclinic pbc="T T T"
Rh -0.2267 0.0418 6.9171
Cl 1.2185 4.0207 2.1271
Cl 1.8853 0.0767 5.8987
F 2.8772 2.0694 7.9099

---

# 7
12
Lattice="-1.4706 5.1100 4.6379 -6.5474 -0.1613 -1.8130 -1.5996 -6.2020 6.3253" Properties=species:S:1:pos:R:3 comment="BaCa2GeBr8 | Alexandria via LeMat-Bulk | GGA-PBE | relaxed" sg="P2/m (10)" raw_formation_energy_ev_per_atom=-1.6628 crystal_system=monoclinic pbc="T T T"
Ca -4.3908 0.9938 2.9224
Ca -5.2268 -2.2471 6.2278
Br -5.5709 -0.6486 0.7929
Br -4.0467 -0.6047 8.3573
Br -6.4620 -4.1033 4.3163
Br -3.8012 -4.5602 7.3781
Br -5.8165 3.3068 1.7721
Br -3.1664 -1.2888 4.3410
Br -6.4512 0.0355 4.8092
Br -3.1556 2.8500 4.8339
Ba -0.7998 -3.1010 3.1626
Ge 0.0000 0.0000 0.0000

---

# 8
8
Lattice="7.8910 0.0000 0.0000 0.0000 7.8910 0.0000 3.9455 3.9455 2.6315" Properties=species:S:1:pos:R:3 comment="Zn2BiRu | Alexandria via LeMat-Bulk | GGA-PBE | relaxed" ef_ev_per_atom=0.462 sg="I-42d (122)" crystal_system=tetragonal pbc="T T T"
Bi 7.8910 3.9455 1.3157
Bi 0.0000 0.0000 0.0000
Zn 2.4467 5.9182 0.6579
Zn 9.8637 9.3897 1.9736
Zn 5.4443 1.9727 0.6579
Zn 5.9182 6.3922 1.9736
Ru 3.9455 3.9455 0.0000
Ru 3.9455 7.8910 1.3157

---

# 9
16
Lattice="-7.6994 5.0078 -0.2085 -2.4628 -3.4471 8.1519 1.5176 2.3945 1.4710" Properties=species:S:1:pos:R:3 comment="TaN | Alexandria via LeMat-Bulk | GGA-PBE | relaxed" sg="P4/m (83)" raw_formation_energy_ev_per_atom=-0.6011 crystal_system=tetragonal pbc="T T T"
Ta -2.4242 2.1130 2.5287
Ta -8.2170 2.3354 4.6756
Ta -4.8926 2.5591 0.8818
Ta -6.0180 3.8870 3.3485
Ta -6.2204 1.8422 6.8858
Ta -5.2695 -0.9984 7.0617
Ta -2.6266 0.0682 6.0660
Ta -1.9452 -0.7747 3.2678
N -2.9070 1.4384 0.6576
N -7.8689 3.3564 2.6544
N -4.1721 3.0225 2.8514
N -6.1949 2.9286 5.0911
N -4.4725 0.9327 6.5630
N -2.4497 1.0266 4.3233
N -7.2552 0.1223 7.2859
N -2.2933 -1.7958 5.2890

---

# 10
16
Lattice="5.1262 -0.2785 0.0000 -2.2653 4.6069 0.0000 0.0000 0.0000 8.3810" Properties=species:S:1:pos:R:3 comment="Cu14NiRh | Alexandria via LeMat-Bulk | GGA-PBE | relaxed" ef_ev_per_atom=0.020 sg="Amm2 (38)" crystal_system=orthorhombic pbc="T T T"
Rh 1.7569 1.9484 4.1905
Cu 3.0749 2.6498 2.0786
Cu 4.2018 0.3325 6.2652
Cu 0.4984 2.7803 2.0689
Cu 2.9648 1.1501 0.0000
Cu 1.6282 0.4610 2.0786
Cu 0.3879 1.2889 0.0000
Cu 4.2018 0.3325 2.1158
Cu -0.7344 3.5951 0.0000
Cu -0.8064 2.1000 4.1905
Cu 1.6282 0.4610 6.3025
Cu 0.6129 4.2473 4.1905
Cu 1.8271 3.4664 0.0000
Cu 3.0749 2.6498 6.3025
Cu 0.4984 2.7803 6.3121
Ni -1.9283 4.3842 4.1905

---

# 11
5
Lattice="-1.5653 2.7850 5.0118 1.4071 -4.2161 2.7823 5.5074 2.1754 0.5112" Properties=species:S:1:pos:R:3 comment="Sr2CaBeBi | Alexandria via LeMat-Bulk | GGA-PBE | relaxed" ef_ev_per_atom=0.105 sg="P4/mmm (123)" crystal_system=tetragonal pbc="T T T"
Ca 2.6746 0.3722 4.1527
Sr 2.7537 1.0877 0.2556
Sr -0.7826 1.3925 2.5059
Be 0.0000 0.0000 0.0000
Bi 0.7035 -2.1081 1.3912

---

# 12
5
Lattice="-2.2011 2.2011 7.3570 2.2011 -2.2011 7.3570 2.2011 2.2011 -7.3570" Properties=species:S:1:pos:R:3 comment="Cd2Te2Se | Alexandria via LeMat-Bulk | GGA-PBE | relaxed" relative_energy_mev_per_atom=161 sg="I4/mmm (139)" raw_formation_energy_ev_per_atom=0.1204 crystal_system=tetragonal pbc="T T T"
Cd 2.2011 0.0000 3.6785
Cd 0.0000 2.2011 3.6785
Se 0.0000 0.0000 0.0000
Te 0.0000 0.0000 9.0615
Te 0.0000 0.0000 5.6525

---

Number 1: DFT total energy -5.092 eV per atom. Number 2: DFT total energy -7.335 eV per atom. Number 3: DFT total energy -3.263 eV per atom. Number 4: DFT total energy -5.883 eV per atom. Number 5: DFT total energy -6.993 eV per atom. Number 6: DFT total energy -4.074 eV per atom. Number 7: DFT total energy -3.657 eV per atom. Number 8: DFT total energy -3.465 eV per atom. Number 9: DFT total energy -10.690 eV per atom. Number 10: DFT total energy -4.385 eV per atom. Number 11: DFT total energy -2.490 eV per atom. Number 12: DFT total energy -2.199 eV per atom.